[1]
VASP calculation (GGA-PBE) on a relaxed structure of Ti3HgPt.

Unit cell a=4.8136 b=4.8136 c=4.8136 alpha=90.00 beta=90.00 gamma=90.00
Atoms (fractional coordinates):
Hg  0.5000  0.5000  0.5000
Pt  0.0000  0.0000  0.0000
Ti  0.0000  0.5000  0.0000
Ti  0.0000  0.0000  0.5000
Ti  0.5000  0.0000  0.0000

Properties
- offset from the most stable computed form (meV per atom) = 0.0
- DFT formation energy (eV per formula unit) = 1.3
- space group = Pm-3m (221)
- total moment (μB/f.u.) = 0.0

=====

[2]
VASP calculation (GGA-PBE) on a relaxed structure of Pr13Cd2.

Unit cell a=6.6252 b=8.7583 c=9.7887 alpha=111.02 beta=78.02 gamma=97.66
Atoms (fractional coordinates):
Pr  0.7474  0.5954  0.0549
Pr  0.2526  0.4046  0.9451
Pr  0.0000  0.0000  0.0000
Pr  0.2919  0.0133  0.6512
Pr  0.7081  0.9867  0.3488
Pr  0.0525  0.5820  0.7071
Pr  0.9475  0.4180  0.2929
Pr  0.4557  0.6287  0.4157
Pr  0.5443  0.3713  0.5843
Pr  0.5250  0.7932  0.8480
Pr  0.4750  0.2068  0.1520
Pr  0.7917  0.1815  0.7713
Pr  0.2083  0.8185  0.2287
Cd  0.8775  0.7941  0.5440
Cd  0.1225  0.2059  0.4560

Properties
- DFT formation energy (eV per formula unit) = -0.7
- space group = P-1 (2)
- total moment (μB/f.u.) = 0.0

=====

[3]
VASP calculation (GGA-PBE) on a relaxed structure of RbAs2S2.

Unit cell a=7.3528 b=7.3528 c=9.1315 alpha=90.15 beta=90.15 gamma=136.59
Atoms (fractional coordinates):
Rb  0.9256  0.5744  0.7500
Rb  0.0744  0.4256  0.2500
As  0.0552  0.8939  0.3998
As  0.3939  0.5552  0.8998
As  0.9448  0.1061  0.6002
As  0.6061  0.4448  0.1002
S  0.2675  0.2325  0.7500
S  0.4132  0.0868  0.2500
S  0.5868  0.9132  0.7500
S  0.7325  0.7675  0.2500

Properties
- space group = C2/c (15)
- energy relative to the elements, uncorrected (eV/f.u.) = -1.53
- total moment (μB/f.u.) = 0.0

=====

[4]
VASP calculation (GGA-PBE) on a relaxed structure of Ti3AlRe.

Unit cell a=4.3924 b=4.4110 c=8.4686 alpha=90.00 beta=74.97 gamma=90.00
Atoms (fractional coordinates):
Ti  0.7707  0.2500  0.1069
Ti  0.3783  0.2500  0.8917
Ti  0.5739  0.2500  0.5006
Ti  0.2700  0.7500  0.1083
Ti  0.8776  0.7500  0.8931
Ti  0.0745  0.7500  0.4994
Al  0.4773  0.7500  0.6937
Al  0.1710  0.2500  0.3063
Re  0.6696  0.7500  0.3092
Re  0.9788  0.2500  0.6908

Properties
- offset from the most stable computed form (meV per atom) = 0.0
- DFT formation energy (eV per formula unit) = -1.8
- space group = Cmcm (63)
- total moment (μB/f.u.) = 0.0

=====

[5]
VASP calculation (GGA-PBE) on a relaxed structure of CsAc2TlO5.

Unit cell a=7.3379 b=7.3379 c=8.2516 alpha=116.40 beta=116.40 gamma=90.00
Atoms (fractional coordinates):
Cs  0.2500  0.2500  0.5000
Cs  0.7500  0.7500  0.5000
Ac  0.1820  0.3180  0.0000
Ac  0.6820  0.1820  0.0000
Ac  0.3180  0.8180  0.0000
Ac  0.8180  0.6820  0.0000
Tl  0.2500  0.7500  0.5000
Tl  0.7500  0.2500  0.5000
O  0.9843  0.4843  0.2428
O  0.7415  0.2415  0.7572
O  0.0157  0.5157  0.7572
O  0.2415  0.0157  0.7572
O  0.5157  0.7415  0.7572
O  0.7585  0.9843  0.2428
O  0.4843  0.2585  0.2428
O  0.2585  0.7585  0.2428
O  0.5000  0.5000  0.0000
O  0.0000  0.0000  0.0000

Properties
- space group = I4/mcm (140)
- energy relative to the elements, uncorrected (eV/f.u.) = -19.93
- total moment (μB/f.u.) = 0.0

=====

[6]
VASP calculation (GGA-PBE) on a relaxed structure of NaPrNdOs.

Unit cell a=5.1822 b=5.1822 c=5.1822 alpha=60.00 beta=60.00 gamma=60.00
Atoms (fractional coordinates):
Pr  0.7500  0.7500  0.7500
Nd  0.2500  0.2500  0.2500
Os  0.0000  0.0000  0.0000
Na  0.5000  0.5000  0.5000

Properties
- DFT formation energy (eV per formula unit) = 0.6
- space group = F-43m (216)
- total moment (μB/f.u.) = 0.0

=====

[7]
VASP calculation (GGA-PBE) on a relaxed structure of TcAu.

Unit cell a=5.5071 b=5.5071 c=6.6545 alpha=75.29 beta=75.29 gamma=30.21
Atoms (fractional coordinates):
Tc  0.9847  0.9847  0.9888
Tc  0.9426  0.9426  0.6318
Tc  0.2958  0.2958  0.9350
Au  0.6108  0.6108  0.2582
Au  0.3367  0.3367  0.3398
Au  0.6627  0.6627  0.6797

Properties
- offset from the most stable computed form (meV per atom) = 176.8
- DFT formation energy (eV per formula unit) = 0.5
- space group = Cm (8)
- total moment (μB/f.u.) = 0.0

=====

[8]
VASP calculation (GGA-PBE) on a relaxed structure of TiCdCo4.

Unit cell a=4.7999 b=4.7999 c=4.7999 alpha=60.00 beta=60.00 gamma=60.00
Site moments in Bohr magnetons follow the coordinates.
Atoms (fractional coordinates):
Ti  0.2500  0.2500  0.2500  -0.66
Co  0.6248  0.6248  0.1256  1.29
Co  0.6248  0.1256  0.6248  1.29
Co  0.6248  0.6248  0.6248  1.29
Co  0.1256  0.6248  0.6248  1.29
Cd  0.0000  0.0000  0.0000  -0.03

Properties
- DFT formation energy (eV per formula unit) = -0.5
- space group = F-43m (216)
- total moment (μB/f.u.) = 4.3

=====

[9]
VASP calculation (GGA-PBE) on a relaxed structure of NaH3Pd.

Unit cell a=12.1614 b=5.1989 c=5.1989 alpha=140.29 beta=145.52 gamma=34.48
Atoms (fractional coordinates):
Na  0.6361  0.9824  0.0176
Na  0.3639  0.0176  0.9824
Pd  0.9036  0.9666  0.0334
Pd  0.0964  0.0334  0.9666
H  0.8448  0.2102  0.7898
H  0.1552  0.7898  0.2102
H  0.9411  0.3748  0.6252
H  0.0589  0.6252  0.3748
H  0.3779  0.7729  0.2271
H  0.6221  0.2271  0.7729

Properties
- offset from the most stable computed form (meV per atom) = 100.8
- space group = C2/m (12)
- total moment (μB/f.u.) = 0.0

=====

[10]
VASP calculation (GGA-PBE) on a relaxed structure of K2GaSnSe5.

Unit cell a=3.7562 b=10.6656 c=14.1382 alpha=90.00 beta=90.00 gamma=100.14
Site moments in Bohr magnetons follow the coordinates.
Atoms (fractional coordinates):
K  0.8803  0.7605  0.7798  0.00
K  0.1036  0.2072  0.6602  0.00
K  0.1197  0.2395  0.2798  0.00
K  0.8964  0.7928  0.1602  0.00
Ga  0.5677  0.1354  0.9558  0.00
Ga  0.4323  0.8646  0.4558  0.00
Sn  0.7672  0.5344  0.5250  0.00
Sn  0.2328  0.4656  0.0250  0.00
Se  0.3502  0.7003  0.9737  0.11
Se  0.6837  0.3673  0.9047  0.00
Se  0.5141  0.0281  0.8062  0.11
Se  0.2691  0.5381  0.6593  0.00
Se  0.9507  0.9015  0.5593  0.01
Se  0.6498  0.2997  0.4737  0.11
Se  0.3163  0.6327  0.4047  0.00
Se  0.4859  0.9719  0.3062  0.11
Se  0.7309  0.4619  0.1593  0.00
Se  0.0493  0.0985  0.0593  0.01

Properties
- space group = Cmc2_1 (36)
- energy relative to the elements, uncorrected (eV/f.u.) = -6.23
- total moment (μB/f.u.) = 0.4

=====

[11]
VASP calculation (GGA-PBE) on a relaxed structure of Ac4Cd2Os.

Unit cell a=5.7465 b=5.7465 c=9.2875 alpha=108.02 beta=108.02 gamma=90.00
Atoms (fractional coordinates):
Ac  0.8233  0.8233  0.6467
Ac  0.1767  0.1767  0.3533
Ac  0.0000  0.5000  0.0000
Ac  0.5000  0.0000  0.0000
Os  0.0000  0.0000  0.0000
Cd  0.6235  0.6235  0.2471
Cd  0.3765  0.3765  0.7529

Properties
- offset from the most stable computed form (meV per atom) = 131.1
- DFT formation energy (eV per formula unit) = -0.3
- space group = I4/mmm (139)
- total moment (μB/f.u.) = 0.0

=====

[12]
VASP calculation (GGA-PBE) on a relaxed structure of Ba2ZrMo.

Unit cell a=5.4738 b=5.4738 c=5.4738 alpha=119.94 beta=119.94 gamma=90.10
Site moments in Bohr magnetons follow the coordinates.
Atoms (fractional coordinates):
Ba  0.0000  0.0000  0.0000  -0.01
Ba  0.2500  0.7500  0.5000  0.00
Mo  0.5000  0.5000  0.0000  0.14
Zr  0.7500  0.2500  0.5000  -0.07

Properties
- offset from the most stable computed form (meV per atom) = 550.4
- DFT formation energy (eV per formula unit) = 4.2
- space group = I-4m2 (119)
- total moment (μB/f.u.) = 0.0

=====

no.,energy (eV per atom)
1,-5.74
2,-4.31
3,-4.01
4,-8.33
5,-6.24
6,-5.38
7,-6.56
8,-6.29
9,-3.48
10,-3.65
11,-4.25
12,-4.75